Record 1
DFT (PBE-GGA) results for crystalline Ca2LaZnNi at its relaxed geometry.

Magnetization: 0.00 μB/atom
DOS at the Fermi energy: 4.191 states/eV/cell
ΔE_f: -0.035 eV/atom

Lattice parameters (Å, degrees): 5.474 5.474 5.246 90.00 90.00 90.00
Sites, in units of the cell vectors:
Ca 0.000 0.500 0.000
Ca 0.500 0.000 0.000
La 0.000 0.000 0.500
Zn 0.500 0.500 0.500
Ni 0.000 0.000 0.000

=====

Record 2
DFT (PBE-GGA) results for crystalline CaLa2ZnNi at its relaxed geometry.

Magnetization: 0.00 μB/atom
DOS at the Fermi energy: 4.790 states/eV/cell
ΔE_f: -0.085 eV/atom

Lattice parameters (Å, degrees): 5.486 5.486 4.871 90.00 90.00 90.00
Sites, in units of the cell vectors:
Ca 0.000 0.000 0.000
La 0.000 0.500 0.500
La 0.500 0.000 0.500
Zn 0.500 0.500 0.000
Ni 0.500 0.500 0.500

=====

Record 3
DFT (PBE-GGA) results for crystalline CaLaZnNi at its relaxed geometry.

Magnetization: 0.00 μB/atom
DOS at the Fermi energy: 5.149 states/eV/cell
ΔE_f: -0.266 eV/atom
Energy relative to the lowest polymorph listed for this composition: 0.0 meV/atom

Lattice parameters (Å, degrees): 4.034 4.102 11.944 90.00 90.00 90.00
Sites, in units of the cell vectors:
Ca 0.000 0.000 0.000
Ca 0.000 0.500 0.500
La 0.500 0.000 0.283
La 0.500 0.500 0.783
Zn 0.500 0.000 0.584
Zn 0.500 0.500 0.084
Ni 0.000 0.000 0.724
Ni 0.000 0.500 0.224

=====

Record 4
DFT (PBE-GGA) results for crystalline CaLaNpO6 at its relaxed geometry.

Magnetization: 0.00 μB/atom
ΔE_f (raw): -2989 meV per atom

Lattice parameters (Å, degrees): 5.811 5.811 9.853 90.00 90.00 120.00
Sites, in units of the cell vectors:
Ca 0.333 0.667 0.250
Ca 0.667 0.333 0.750
La 0.000 0.000 0.000
La 0.000 0.000 0.500
Np 0.333 0.667 0.750
Np 0.667 0.333 0.250
O 0.041 0.373 0.638
O 0.041 0.668 0.862
O 0.332 0.373 0.862
O 0.332 0.959 0.638
O 0.373 0.041 0.138
O 0.373 0.332 0.362
O 0.627 0.668 0.638
O 0.627 0.959 0.862
O 0.668 0.041 0.362
O 0.668 0.627 0.138
O 0.959 0.332 0.138
O 0.959 0.627 0.362